Entry 1:
# AcNbFeP2 PBE-GGA relaxed
# **Calculated formation energy**: -0.834 eV per atom
# **Magnetic moment**: 2.1 μB per formula unit
# **VASP energy**: -7.526 eV/atom
# **DOS at the Fermi energy**: 0.706 states/eV/atom
data_AcNbFeP2
_chemical_formula_sum 'Ac2 Nb2 Fe2 P4'
_cell_length_a 3.9263
_cell_length_b 3.9263
_cell_length_c 12.6920
_cell_angle_alpha 90.00
_cell_angle_beta 90.00
_cell_angle_gamma 90.00
_space_group_name_H-M_alt 'I -4 m 2'
_space_group_IT_number 119
_space_group_name_Hall 'I -4 -2'
loop_
_atom_site_label
_atom_site_fract_x
_atom_site_fract_y
_atom_site_fract_z
Ac1 0.0000 0.0000 0.0000
Nb1 0.0000 0.5000 0.2500
Fe1 0.0000 0.5000 0.7500
P1 0.0000 0.0000 0.3662

Entry 2:
# AcNd2Fe PBE-GGA relaxed
# **Calculated formation energy**: 0.361 eV per atom
# **Magnetic moment**: 0.8 μB per formula unit
# **VASP energy**: -5.166 eV/atom
# **DOS at the Fermi energy**: 1.372 states/eV/atom
data_AcNd2Fe
_chemical_formula_sum 'Ac3 Nd6 Fe3'
_cell_length_a 3.7539
_cell_length_b 3.7539
_cell_length_c 32.9233
_cell_angle_alpha 90.00
_cell_angle_beta 90.00
_cell_angle_gamma 120.00
_space_group_name_H-M_alt 'R -3 m'
_space_group_IT_number 166
_space_group_name_Hall '-R 3 2"'
loop_
_atom_site_label
_atom_site_fract_x
_atom_site_fract_y
_atom_site_fract_z
Ac1 0.0000 0.0000 0.0000
Nd1 0.0000 0.0000 0.1131
Fe1 0.0000 0.0000 0.5000

Entry 3:
# AcNdFe4 PBE-GGA relaxed
# **Calculated formation energy**: 0.176 eV per atom
# **Magnetic moment**: 8.0 μB per formula unit
# **VASP energy**: -6.945 eV/atom
# **DOS at the Fermi energy**: 1.009 states/eV/atom
data_AcNdFe4
_chemical_formula_sum 'Ac4 Nd4 Fe16'
_cell_length_a 7.5501
_cell_length_b 7.5501
_cell_length_c 7.5501
_cell_angle_alpha 90.00
_cell_angle_beta 90.00
_cell_angle_gamma 90.00
_space_group_name_H-M_alt 'F -4 3 m'
_space_group_IT_number 216
_space_group_name_Hall 'F -4 2 3'
loop_
_atom_site_label
_atom_site_fract_x
_atom_site_fract_y
_atom_site_fract_z
Ac1 0.0000 0.0000 0.0000
Nd1 0.2500 0.2500 0.7500
Fe1 0.1247 0.1247 0.3753

Entry 4:
# AcNd3Fe PBE-GGA relaxed
# **Calculated formation energy**: 0.183 eV per atom
# **Magnetic moment**: 0.0 μB per formula unit
# **VASP energy**: -5.192 eV/atom
# **DOS at the Fermi energy**: 2.181 states/eV/atom
data_AcNd3Fe
_chemical_formula_sum 'Ac1 Nd3 Fe1'
_cell_length_a 5.5103
_cell_length_b 5.5103
_cell_length_c 5.5103
_cell_angle_alpha 90.00
_cell_angle_beta 90.00
_cell_angle_gamma 90.00
_space_group_name_H-M_alt 'P m -3 m'
_space_group_IT_number 221
_space_group_name_Hall '-P 4 2 3'
loop_
_atom_site_label
_atom_site_fract_x
_atom_site_fract_y
_atom_site_fract_z
Ac1 0.0000 0.0000 0.0000
Nd1 0.0000 0.5000 0.5000
Fe1 0.5000 0.5000 0.5000